InFeAs: relaxed, GGA-PBE.

The structure belongs to space group Pmn2_1 (No. 31); the cell edges are 3.1175, 5.9198 and 6.3030 Å and the angles 90.00°, 90.00° and 90.00°. The distinct sites, in fractional coordinates, are In at (0.0000, 0.0291, 0.0000), Fe at (0.0000, 0.6964, 0.2727) and As at (0.0000, 0.4654, 0.5609).

The calculation puts the total energy at -31.8 eV per cell.